1.
Here is a relaxed structure of Na2Ni2Pd from Alexandria. Energies are from PBE.

Cell and atoms, written as POSCAR:
```
Na2Ni2Pd
1.0
6.228 0.000 0.000
0.000 6.228 0.000
0.000 0.000 4.674
Na Ni Pd
4 4 2
Cartesian
1.138 1.976 0.000
1.976 5.090 0.000
4.252 1.138 0.000
5.090 4.252 0.000
0.781 3.895 2.337
2.333 0.781 2.337
3.895 5.447 2.337
5.447 2.333 2.337
0.000 0.000 2.337
3.114 3.114 2.337
```

Results
- M_tot: 0.154 μB/atom
- Total DFT energy (no corrections): -35.79 eV/cell

2.
Here is a relaxed structure of NaNi2Pd from Alexandria. Energies are from PBE.

Cell and atoms, written as POSCAR:
```
NaNi2Pd
1.0
0.000 3.051 3.051
3.051 0.000 3.051
3.051 3.051 0.000
Na Ni Pd
1 2 1
Cartesian
0.000 0.000 0.000
1.525 1.525 1.525
4.576 4.576 4.576
3.051 3.051 3.051
```

Results
- M_tot: 0.241 μB/atom
- Polymorph energy (0 for the lowest one): 0.000 eV/atom
- Total DFT energy (no corrections): -16.52 eV/cell

3.
Here is a relaxed structure of NaNiPd2 from Alexandria. Energies are from PBE.

Cell and atoms, written as POSCAR:
```
NaNiPd2
1.0
2.839 0.000 0.000
0.000 2.839 0.000
0.000 0.000 7.916
Na Ni Pd
1 1 2
Cartesian
0.000 0.000 0.000
0.000 0.000 3.958
1.419 1.419 2.313
1.419 1.419 5.603
```

Results
- M_tot: 0.298 μB/atom
- Polymorph energy (0 for the lowest one): 0.000 eV/atom
- Total DFT energy (no corrections): -17.42 eV/cell

4.
Here is a relaxed structure of Na2NiPd2 from Alexandria. Energies are from PBE.

Cell and atoms, written as POSCAR:
```
Na2NiPd2
1.0
-1.752 1.752 7.101
1.752 -1.752 7.101
1.752 1.752 -7.101
Na Ni Pd
2 1 2
Cartesian
1.752 0.000 3.550
0.000 1.752 3.550
0.000 0.000 0.000
0.000 0.000 5.812
0.000 0.000 8.389
```

Results
- M_tot: 0.148 μB/atom
- Total DFT energy (no corrections): -16.26 eV/cell

5.
Here is a relaxed structure of Na2ReNiPd from Alexandria. Energies are from PBE.

Cell and atoms, written as POSCAR:
```
Na2ReNiPd
1.0
4.850 0.000 0.000
0.000 4.850 0.000
0.000 0.000 4.497
Na Re Ni Pd
2 1 1 1
Cartesian
0.000 2.425 0.000
2.425 0.000 0.000
0.000 0.000 2.249
0.000 0.000 0.000
2.425 2.425 2.249
```

Results
- M_tot: 0.400 μB/atom
- Total DFT energy (no corrections): -19.91 eV/cell

6.
Here is a relaxed structure of NaNiPd2Ru from Alexandria. Energies are from PBE.

Cell and atoms, written as POSCAR:
```
NaNiPd2Ru
1.0
4.415 0.000 0.000
0.000 4.415 0.000
0.000 0.000 4.563
Na Ni Pd Ru
1 1 2 1
Cartesian
0.000 0.000 0.000
2.207 2.207 2.281
0.000 2.207 0.000
2.207 0.000 0.000
0.000 0.000 2.281
```

Results
- M_tot: 0.110 μB/atom
- Total DFT energy (no corrections): -17.54 eV/cell

7.
Here is a relaxed structure of Na2NiSb2Pd from Alexandria. Energies are from PBE.

Cell and atoms, written as POSCAR:
```
Na2NiSb2Pd
1.0
-3.188 6.838 3.169
3.188 -6.838 3.169
3.188 6.838 -3.169
Na Ni Sb Pd
4 2 4 2
Cartesian
1.509 2.225 0.000
1.509 -2.225 3.169
1.679 9.064 0.000
1.679 4.613 3.169
3.188 0.000 1.584
0.000 6.838 1.584
4.647 1.356 0.000
1.459 5.483 0.000
1.728 1.356 3.169
-1.459 5.483 3.169
0.000 0.000 1.584
0.000 0.000 4.753
```

Results
- M_tot: 0.000 μB/atom
- Formation energy from raw total energies: -0.358 eV per atom
- Total DFT energy (no corrections): -48.01 eV/cell

8.
Here is a relaxed structure of NaNiSnPd from Alexandria. Energies are from PBE.

Cell and atoms, written as POSCAR:
```
NaNiSnPd
1.0
0.000 3.219 3.219
3.219 0.000 3.219
3.219 3.219 0.000
Na Ni Sn Pd
1 1 1 1
Cartesian
0.000 0.000 0.000
4.829 4.829 4.829
3.219 3.219 3.219
1.610 1.610 1.610
```

Results
- M_tot: 0.000 μB/atom
- Total DFT energy (no corrections): -16.88 eV/cell